The following is a PBE-GGA calculation of crystalline Ce3B2Rh9Au at its relaxed geometry, from the Alexandria database.

**ΔE_f**: -0.547 eV per atom
**Volume**: 17.45 Å³ per atom
**Total energy**: -108.80 eV for the cell shown
**M_tot**: 0.015 μB per atom
**Crystal system**: trigonal
**Theoretical density**: 9.9 g cm⁻³
**Space group**: P-3m1, No. 164

Structure (POSCAR):
```
Ce3B2Rh9Au
1.0
5.765 0.000 0.000
-2.882 4.992 0.000
0.000 0.000 9.096
Rh B Au Ce
9 2 1 3
Cartesian
1.484 4.185 2.412
1.441 2.496 0.000
-1.484 4.185 2.412
1.399 0.808 6.683
-1.441 2.496 0.000
4.366 0.808 6.683
2.882 3.377 6.683
0.000 1.615 2.412
2.882 0.000 0.000
0.000 3.328 1.300
2.882 1.664 7.796
0.000 0.000 4.548
0.000 3.328 6.116
2.882 1.664 2.980
0.000 0.000 0.000
```

---

The following is a PBE-GGA calculation of crystalline B3AuCl at its relaxed geometry, from the Alexandria database.

**Uncorrected formation energy**: 1.55 eV per atom
**Volume**: 15.72 Å³ per atom
**Total energy**: -17.39 eV for the cell shown
**M_tot**: 0.000 μB per atom
**ΔE to the lowest computed polymorph**: 0 meV per atom
**Crystal system**: cubic
**Theoretical density**: 5.6 g cm⁻³
**Space group**: Pm-3m, No. 221

Structure (POSCAR):
```
B3AuCl
1.0
-2.818 2.613 1.892
0.616 -2.030 3.721
3.166 2.721 0.960
B Au Cl
3 1 1
Cartesian
0.308 -1.015 1.861
-1.409 1.306 0.946
1.583 1.360 0.480
0.000 0.000 0.000
0.482 1.652 3.286
```

---

The following is a PBE-GGA calculation of crystalline BAuCl2 at its relaxed geometry, from the Alexandria database.

**Uncorrected formation energy**: 0.31 eV per atom
**Volume**: 21.06 Å³ per atom
**Total energy**: -12.39 eV for the cell shown
**M_tot**: 0.000 μB per atom
**ΔE to the lowest computed polymorph**: 0 meV per atom
**Crystal system**: trigonal
**Theoretical density**: 5.5 g cm⁻³
**Space group**: R-3m, No. 166

Structure (POSCAR):
```
BAuCl2
1.0
-7.689 2.207 6.457
-5.410 3.729 7.906
-6.960 5.094 5.594
B Au Cl
1 1 2
Cartesian
0.000 0.000 0.000
-10.030 5.515 9.978
-1.099 0.605 1.094
-18.960 10.426 18.863
```

---

The following is a PBE-GGA calculation of crystalline BAuCl2 at its relaxed geometry, from the Alexandria database.

**Uncorrected formation energy**: 0.86 eV per atom
**Volume**: 25.25 Å³ per atom
**Total energy**: -20.45 eV for the cell shown
**M_tot**: 0.000 μB per atom
**ΔE to the lowest computed polymorph**: 542 meV per atom
**Crystal system**: tetragonal
**Theoretical density**: 4.6 g cm⁻³
**Space group**: I-42d, No. 122

Structure (POSCAR):
```
BAuCl2
1.0
5.562 0.000 0.000
0.000 5.562 0.000
2.781 2.781 6.529
Cl B Au
4 2 2
Cartesian
1.463 4.172 1.632
4.099 1.391 1.632
6.953 6.880 4.897
4.172 4.244 4.897
2.781 2.781 0.000
2.781 5.562 3.265
5.562 2.781 3.265
0.000 0.000 0.000
```